Compound: CeNd3Zn2
Source: the Alexandria database
Functional: PBE
Structure: optimized geometry

Output
ΔE_f: -173 meV/atom
D(E_F): 7.66 states/eV/f.u.
energy relative to the lowest polymorph listed for this composition: 0.0 meV per atom
total DFT energy (no corrections): -3.971 eV per atom

Structure (extended XYZ):
```
6
Lattice="3.643 0.000 0.000 0.000 3.643 0.000 0.000 0.000 12.352" Properties=species:S:1:pos:R:3 pbc="T T T"
Nd 0.000 0.000 8.637
Nd 0.000 0.000 0.000
Nd 0.000 0.000 3.715
Zn 1.822 1.822 10.471
Zn 1.822 1.822 1.881
Ce 1.822 1.822 6.176
```



Compound: NaTmTiO4
Source: the Alexandria database
Functional: PBE
Structure: optimized geometry

Output
D(E_F): 0.00 states/eV/f.u.
energy relative to the elements, uncorrected: -2956 meV per atom
total DFT energy (no corrections): -7.745 eV per atom

Structure (extended XYZ):
```
14
Lattice="6.687 0.000 0.000 3.344 5.417 0.149 3.344 1.792 5.114" Properties=species:S:1:pos:R:3 pbc="T T T"
Ti 6.687 3.560 4.502
Ti 6.687 3.649 0.761
O 10.031 5.477 3.964
O 6.687 1.840 1.377
O 5.208 4.499 1.382
O 6.687 5.369 3.886
O 8.167 2.710 3.881
O 3.344 1.732 1.299
O 8.167 4.499 1.382
O 5.208 2.710 3.881
Tm 5.016 0.896 2.557
Tm 1.672 0.896 2.557
Na 0.000 0.000 0.000
Na 3.344 3.605 2.632
```



Compound: NaZr2BiN
Source: the Alexandria database
Functional: PBE
Structure: optimized geometry

Output
D(E_F): 2.11 states/eV/f.u.
energy relative to the elements, uncorrected: -254 meV per atom
total DFT energy (no corrections): -6.379 eV per atom

Structure (extended XYZ):
```
5
Lattice="-3.282 -2.373 -1.747 3.738 -3.282 -2.564 0.063 -2.670 3.510" Properties=species:S:1:pos:R:3 pbc="T T T"
N 0.000 0.000 0.000
Zr 0.031 -1.335 1.755
Zr -1.641 -1.187 -0.873
Bi 1.869 -1.641 -1.282
Na 0.259 -4.163 -0.400
```



Compound: Ti2AgIrN
Source: the Alexandria database
Functional: PBE
Structure: optimized geometry

Output
D(E_F): 2.97 states/eV/f.u.
energy relative to the elements, uncorrected: -447 meV per atom
total DFT energy (no corrections): -7.612 eV per atom

Structure (extended XYZ):
```
5
Lattice="-2.506 -2.983 -1.217 3.340 -2.453 -0.863 -0.097 -1.471 3.806" Properties=species:S:1:pos:R:3 pbc="T T T"
Ti -0.049 -0.736 1.903
Ti -1.253 -1.492 -0.609
Ir 0.369 -3.454 0.863
N 0.000 0.000 0.000
Ag 1.670 -1.227 -0.432
```



Question: Which formula does entry 1 have?
Answer: CeNd3Zn2



Question: The highest D(E_F) belongs to which entry?
Answer: CeNd3Zn2



Question: total DFT energy (no corrections) of number 4 (Ti2AgIrN)?
Answer: -7.612 eV per atom